Record 1
YTlW2 | SCAN | PBEsol geometry

Results
The total energy is -58.9131 eV per atom. The calculation puts the density of states at the Fermi level at 2.6 states/eV/f.u. The calculation puts the formation energy at 981 meV/atom. For the distance to the lowest polymorph of the same formula, the calculation gives 299.6 meV/atom.

The structure in POSCAR format:
```
YTlW2
1.0
-1.934 -0.136 2.108
0.721 -2.729 0.485
6.602 2.852 6.240
W Tl Y
2 1 1
direct
0.000 0.000 0.259 W
0.000 0.000 0.741 W
0.500 0.500 0.500 Tl
0.500 0.500 0.000 Y
```

---

Record 2
YTl2W | SCAN | PBEsol geometry

Results
The total energy is -60.0688 eV per atom. The calculation puts the density of states at the Fermi level at 2.7 states/eV/f.u. The calculation puts the formation energy at 493 meV/atom. For the distance to the lowest polymorph of the same formula, the calculation gives 0.0 meV/atom.

The structure in POSCAR format:
```
YTl2W
1.0
4.387 0.000 0.000
0.000 4.387 0.000
0.000 0.000 4.457
Tl Y W
2 1 1
direct
0.500 0.000 0.000 Tl
0.000 0.500 0.000 Tl
0.000 0.000 0.500 Y
0.500 0.500 0.500 W
```

---

Record 3
YTl2W | SCAN | PBEsol geometry

Results
The total energy is -59.9890 eV per atom. The calculation puts the density of states at the Fermi level at 3.4 states/eV/f.u. The calculation puts the formation energy at 573 meV/atom. For the distance to the lowest polymorph of the same formula, the calculation gives 79.8 meV/atom.

The structure in POSCAR format:
```
YTl2W
1.0
3.145 0.009 0.000
-0.863 3.025 0.000
0.000 0.000 9.542
Y Tl W
1 2 1
direct
0.500 0.500 0.274 Y
0.000 0.000 0.995 Tl
0.500 0.500 0.729 Tl
0.000 0.000 0.501 W
```

---

Record 4
YTlW2 | SCAN | PBEsol geometry

Results
The total energy is -59.2127 eV per atom. The calculation puts the density of states at the Fermi level at 2.8 states/eV/f.u. The calculation puts the formation energy at 682 meV/atom. For the distance to the lowest polymorph of the same formula, the calculation gives 0.0 meV/atom.

The structure in POSCAR format:
```
YTlW2
1.0
3.635 0.000 0.000
0.000 4.484 0.000
0.000 0.000 4.712
W Tl Y
2 1 1
direct
0.000 0.000 0.000 W
0.500 0.500 0.000 W
0.000 0.500 0.500 Tl
0.500 0.000 0.500 Y
```

---

Record 5
YTl2W | SCAN | PBEsol geometry

Results
The total energy is -59.9931 eV per atom. The calculation puts the density of states at the Fermi level at 2.6 states/eV/f.u. The calculation puts the formation energy at 569 meV/atom. For the distance to the lowest polymorph of the same formula, the calculation gives 75.7 meV/atom.

The structure in POSCAR format:
```
YTl2W
1.0
3.097 -0.009 0.000
-0.205 5.600 0.000
-1.446 -2.795 5.109
W Y Tl
1 1 2
direct
0.500 0.000 0.000 W
0.000 0.500 0.000 Y
0.000 0.000 0.500 Tl
0.500 0.500 0.500 Tl
```

---

Record 6
TlZn2W | SCAN | PBEsol geometry

Results
The total energy is -41.6892 eV per atom. The calculation puts the density of states at the Fermi level at 1.4 states/eV/f.u. The calculation puts the formation energy at 580 meV/atom. For the distance to the lowest polymorph of the same formula, the calculation gives 0.0 meV/atom.

The structure in POSCAR format:
```
TlZn2W
1.0
2.874 0.000 0.000
0.000 5.006 0.002
0.000 -1.936 4.613
W Tl Zn
1 1 2
direct
0.000 0.500 0.500 W
0.500 0.000 0.500 Tl
0.000 0.000 0.000 Zn
0.500 0.500 0.000 Zn
```

---

Record 7
TlZnW2 | SCAN | PBEsol geometry

Results
The total energy is -55.4340 eV per atom. The calculation puts the density of states at the Fermi level at 2.7 states/eV/f.u. The calculation puts the formation energy at 878 meV/atom. For the distance to the lowest polymorph of the same formula, the calculation gives 319.4 meV/atom.

The structure in POSCAR format:
```
TlZnW2
1.0
2.785 0.000 0.000
0.000 4.245 0.000
0.000 0.000 5.733
Tl W Zn
1 2 1
direct
0.500 0.500 0.500 Tl
0.000 0.000 0.783 W
0.000 0.000 0.217 W
0.500 0.500 0.000 Zn
```

---

Record 8
TlZn2W | SCAN | PBEsol geometry

Results
The total energy is -41.6469 eV per atom. The calculation puts the density of states at the Fermi level at 1.5 states/eV/f.u. The calculation puts the formation energy at 622 meV/atom. For the distance to the lowest polymorph of the same formula, the calculation gives 42.3 meV/atom.

The structure in POSCAR format:
```
TlZn2W
1.0
3.815 0.000 0.000
0.000 4.105 0.000
0.000 0.000 4.105
W Zn Tl
1 2 1
direct
0.500 0.000 0.000 W
0.000 0.500 0.000 Zn
0.000 0.000 0.500 Zn
0.500 0.500 0.500 Tl
```

---

Record 9
Tl2ZnW | SCAN | PBEsol geometry

Results
The total energy is -55.7049 eV per atom. The calculation puts the density of states at the Fermi level at 2.7 states/eV/f.u. The calculation puts the formation energy at 1275 meV/atom. For the distance to the lowest polymorph of the same formula, the calculation gives 388.5 meV/atom.

The structure in POSCAR format:
```
Tl2ZnW
1.0
-1.773 -2.775 3.573
2.271 -0.179 4.292
-2.021 2.066 3.906
Zn Tl W
1 2 1
direct
0.250 0.250 0.250 Zn
0.000 0.000 0.000 Tl
0.750 0.750 0.750 Tl
0.500 0.500 0.500 W
```

---

Record 10
TlZnW2 | SCAN | PBEsol geometry

Results
The total energy is -55.6476 eV per atom. The calculation puts the density of states at the Fermi level at 1.7 states/eV/f.u. The calculation puts the formation energy at 665 meV/atom. For the distance to the lowest polymorph of the same formula, the calculation gives 105.8 meV/atom.

The structure in POSCAR format:
```
TlZnW2
1.0
2.824 0.000 -0.061
0.000 4.285 0.000
-1.489 0.000 5.657
Zn W Tl
1 2 1
direct
0.047 0.000 0.472 Zn
0.483 0.500 0.253 W
0.072 0.000 0.030 W
0.398 0.500 0.745 Tl
```

---

Record 11
Tl2ZnW | SCAN | PBEsol geometry

Results
The total energy is -56.0844 eV per atom. The calculation puts the density of states at the Fermi level at 1.4 states/eV/f.u. The calculation puts the formation energy at 896 meV/atom. For the distance to the lowest polymorph of the same formula, the calculation gives 9.1 meV/atom.

The structure in POSCAR format:
```
Tl2ZnW
1.0
2.923 0.000 0.000
0.000 5.034 0.000
0.000 0.000 5.341
Tl Zn W
2 1 1
direct
0.500 0.000 0.500 Tl
0.000 0.000 0.000 Tl
0.000 0.500 0.500 Zn
0.500 0.500 0.000 W
```

---

Record 12
TlZn3W | SCAN | PBEsol geometry

Results
The total energy is -34.7262 eV per atom. The calculation puts the density of states at the Fermi level at 3.4 states/eV/f.u. The calculation puts the formation energy at 1792 meV/atom.

The structure in POSCAR format:
```
TlZn3W
1.0
4.918 0.000 0.000
0.000 4.918 0.000
0.000 0.000 4.918
Zn Tl W
3 1 1
direct
0.000 0.500 0.000 Zn
0.500 0.000 0.000 Zn
0.000 0.000 0.500 Zn
0.000 0.000 0.000 Tl
0.500 0.500 0.500 W
```

---

> The lowest total energy belongs to which entry?

number 2